YCoTcO2 after structural relaxation. Source: Alexandria, functional PBE+U.

Output
Total energy, eV per atom: -6.058
Fermi-level density of states, states/eV/atom: 0.81

a = 4.1938 Å, b = 4.1938 Å, c = 6.4014 Å
α = 90.00°, β = 90.00°, γ = 90.00°
With the nearest neighbours (Å) after each atom.
Positions (direct):
Y (0.0000, 0.0000, 0.0000)  4 O 2.10
Co (0.5000, 0.5000, 0.5000)  4 Tc 2.97
Tc (0.0000, 0.0000, 0.5000)  4 Co 2.97, 2 Y 3.20
O (0.0000, 0.5000, 0.0000)  2 Y 2.10
O (0.5000, 0.0000, 0.0000)  2 Y 2.10